PBE-GGA YZr2As, optimized geometry; E = -7.4705 eV/atom
1.0
1.813 1.047 8.774
-1.813 1.047 8.774
0.000 -2.093 8.774
Y Zr As
1 2 1
Direct
0.000 0.000 0.000
0.229 0.229 0.229
0.771 0.771 0.771
0.500 0.500 0.500